Here is a relaxed structure of RbScCdBr6 from Alexandria via LeMat-Bulk. Energies are from PBE.

final energy = -3.475 eV per atom
SG = P-31c
volume = 675.94 Å³/cell
ΔE_f (raw) = -13.020 eV per formula unit

```
18
Lattice="7.158 0.000 0.000 -3.579 6.199 0.000 0.000 0.000 15.234" Properties=species:S:1:pos:R:3 pbc="T T T"
Rb 0.000 0.000 0.000
Rb 0.000 0.000 7.617
Sc 0.000 4.133 3.809
Sc 3.579 2.066 11.426
Cd 0.000 4.133 11.426
Cd 3.579 2.066 3.809
Br -1.269 2.377 2.232
Br -2.155 3.912 5.385
Br 1.269 2.377 5.385
Br -0.886 6.109 2.232
Br 2.693 0.090 9.849
Br 1.424 2.287 13.002
Br 2.155 3.912 2.232
Br 0.886 6.109 5.385
Br 4.465 0.090 13.002
Br 2.310 3.822 9.849
Br 5.733 2.287 9.849
Br 4.848 3.822 13.002
```


Here is a relaxed structure of BaTc6S8 from Alexandria via LeMat-Bulk. Energies are from PBE.

final energy = -7.163 eV per atom
SG = R-3
volume = 288.56 Å³/cell
ΔE_f (raw) = -10.312 eV per formula unit

```
15
Lattice="4.623 2.669 3.897 -4.623 2.669 3.897 0.000 -5.338 3.897" Properties=species:S:1:pos:R:3 pbc="T T T"
Ba 0.000 0.000 0.000
Tc -1.536 -0.096 4.749
Tc 0.851 -1.282 4.749
Tc -0.685 -1.378 6.943
Tc 0.685 1.378 4.749
Tc -0.851 1.282 6.943
Tc 1.536 0.096 6.943
S -1.214 -2.562 4.844
S 0.000 0.000 2.988
S -2.826 -0.230 6.848
S -1.612 2.333 4.844
S 1.612 -2.333 6.848
S 2.826 0.230 4.844
S 0.000 0.000 8.704
S 1.214 2.562 6.848
```


Here is a relaxed structure of Ho2Hg3Pt from Alexandria via LeMat-Bulk. Energies are from PBE.

final energy = -3.258 eV per atom
SG = Pmm2
volume = 139.80 Å³/cell
ΔH_f (0 K) = -0.574 eV/atom

```
6
Lattice="3.438 0.000 0.000 0.000 4.835 0.000 0.000 0.000 8.409" Properties=species:S:1:pos:R:3 pbc="T T T"
Ho 0.000 0.000 0.000
Ho 0.000 2.418 3.565
Hg 1.719 0.000 5.153
Hg 1.719 2.418 0.986
Hg 1.719 2.418 6.578
Pt 1.719 0.000 2.380
```


Here is a relaxed structure of ReOsRh2 from Alexandria via LeMat-Bulk. Energies are from PBE.

final energy = -9.571 eV per atom
SG = I4/mmm
volume = 57.32 Å³/cell
ΔH_f (0 K) = 0.024 eV/atom
distance to the lowest polymorph of the same formula = 1.91 kcal/mol of atoms

```
4
Lattice="-1.908 1.908 3.936 1.908 -1.908 3.936 1.908 1.908 -3.936" Properties=species:S:1:pos:R:3 pbc="T T T"
Re 0.000 0.000 0.000
Os 0.000 0.000 3.936
Rh 1.908 0.000 1.968
Rh 0.000 1.908 1.968
```


Here is a relaxed structure of LaSi2Au2 from Alexandria via LeMat-Bulk. Energies are from PBE.

final energy = -5.122 eV per atom
SG = I4/mmm
volume = 99.18 Å³/cell
ΔE_f (raw) = -3.281 eV per formula unit

```
5
Lattice="-2.197 2.197 5.135 2.197 -2.197 5.135 2.197 2.197 -5.135" Properties=species:S:1:pos:R:3 pbc="T T T"
La 0.000 0.000 0.000
Si 0.000 0.000 3.953
Si 0.000 0.000 6.318
Au 2.197 0.000 2.568
Au 0.000 2.197 2.568
```


Here is a relaxed structure of Y3Cd4Ag2 from Alexandria via LeMat-Bulk. Energies are from PBE.

final energy = -3.507 eV per atom
SG = C2/m
volume = 212.82 Å³/cell
ΔH_f (0 K) = -0.312 eV/atom

```
9
Lattice="5.471 -2.467 0.000 5.471 2.467 0.000 -4.642 0.000 7.886" Properties=species:S:1:pos:R:3 pbc="T T T"
Y 0.000 0.000 0.000
Y 2.041 0.000 2.669
Y 4.259 0.000 5.217
Cd -1.214 0.000 3.029
Cd -1.303 0.000 7.460
Cd 7.603 0.000 0.425
Cd 7.513 0.000 4.857
Ag 0.939 0.000 5.726
Ag 5.361 0.000 2.160
```


Here is a relaxed structure of MgBiAu from Alexandria via LeMat-Bulk. Energies are from PBE.

final energy = -3.194 eV per atom
SG = Pnma
volume = 280.78 Å³/cell
ΔH_f (0 K) = -0.276 eV/atom

```
12
Lattice="7.535 0.000 0.000 0.000 4.413 0.000 0.000 0.000 8.444" Properties=species:S:1:pos:R:3 pbc="T T T"
Mg 1.072 1.103 0.581
Mg 2.695 3.310 4.803
Mg 4.840 1.103 3.641
Mg 6.463 3.310 7.863
Bi 0.357 1.103 5.714
Bi 3.411 3.310 1.492
Bi 4.124 1.103 6.952
Bi 7.178 3.310 2.730
Au 1.704 3.310 7.450
Au 2.063 1.103 3.228
Au 5.472 3.310 5.216
Au 5.831 1.103 0.994
```


Here is a relaxed structure of Ac2Tc2O7 from Alexandria via LeMat-Bulk. Energies are from PBE.

final energy = -8.054 eV per atom
SG = Fd-3m
volume = 318.50 Å³/cell
distance to the lowest polymorph of the same formula = 0.00 kcal/mol of atoms
ΔE_f (raw) = -24.937 eV per formula unit

```
22
Lattice="0.000 5.420 5.420 5.420 0.000 5.420 5.420 5.420 0.000" Properties=species:S:1:pos:R:3 pbc="T T T"
Ac 0.000 0.000 0.000
Ac 2.710 2.710 0.000
Ac 2.710 0.000 2.710
Ac 0.000 2.710 2.710
Tc 5.420 2.710 2.710
Tc 2.710 5.420 2.710
Tc 2.710 2.710 5.420
Tc 5.420 5.420 5.420
O 1.355 1.355 1.355
O 4.065 4.065 1.895
O 4.065 1.895 4.065
O 6.235 4.065 4.065
O 6.775 6.775 4.605
O 6.775 4.605 6.775
O 8.946 6.775 6.775
O 1.895 4.065 4.065
O 4.065 6.235 4.065
O 4.065 4.065 6.235
O 4.605 6.775 6.775
O 6.775 8.946 6.775
O 6.775 6.775 8.946
O 9.486 9.486 9.486
```